<one>
# PmPaAsP, optimized geometry, DFT PBE
data_PmPaAsP
_cell_length_a 4.980
_cell_length_b 4.980
_cell_length_c 4.980
_cell_angle_alpha 60.00
_cell_angle_beta 60.00
_cell_angle_gamma 60.00
_space_group_name_H-M_alt 'P 1'
_space_group_IT_number 1
_space_group_name_Hall 'P 1'
loop_
_atom_site_label
_atom_site_fract_x
_atom_site_fract_y
_atom_site_fract_z
Pm1 0.750 0.750 0.750
Pa1 0.250 0.250 0.250
P1 0.500 0.500 0.500
As1 0.000 0.000 0.000
# Total magnetic moment   0.848 μB per formula unit
# Space group   No. 216

---

<two>
# PmPaAsP, optimized geometry, DFT PBE
data_PmPaAsP
_cell_length_a 4.041
_cell_length_b 4.041
_cell_length_c 7.375
_cell_angle_alpha 90.00
_cell_angle_beta 105.90
_cell_angle_gamma 120.00
_space_group_name_H-M_alt 'P 1'
_space_group_IT_number 1
_space_group_name_Hall 'P 1'
loop_
_atom_site_label
_atom_site_fract_x
_atom_site_fract_y
_atom_site_fract_z
P1 0.126 0.961 0.102
Pm1 0.953 0.375 0.343
Pa1 0.317 0.557 0.889
As1 0.481 0.138 0.635
# Total magnetic moment   0.000 μB per formula unit
# Space group   No. 160

---

Q: Which of them is the most stable? A: <two>.

---

<one>
# As3PPb, optimized geometry, DFT PBE
data_As3PPb
_cell_length_a 5.337
_cell_length_b 5.337
_cell_length_c 5.337
_cell_angle_alpha 90.00
_cell_angle_beta 90.00
_cell_angle_gamma 90.00
_space_group_name_H-M_alt 'P 1'
_space_group_IT_number 1
_space_group_name_Hall 'P 1'
loop_
_atom_site_label
_atom_site_fract_x
_atom_site_fract_y
_atom_site_fract_z
As1 0.000 0.500 0.000
As2 0.500 0.000 0.000
As3 0.000 0.000 0.500
Pb1 0.000 0.000 0.000
P1 0.500 0.500 0.500
# Total magnetic moment   0.000 μB per formula unit
# Space group   No. 221

---

<two>
# As3PPb, optimized geometry, DFT PBE
data_As3PPb
_cell_length_a 4.869
_cell_length_b 4.869
_cell_length_c 4.869
_cell_angle_alpha 90.00
_cell_angle_beta 90.00
_cell_angle_gamma 90.00
_space_group_name_H-M_alt 'P 1'
_space_group_IT_number 1
_space_group_name_Hall 'P 1'
loop_
_atom_site_label
_atom_site_fract_x
_atom_site_fract_y
_atom_site_fract_z
As1 0.000 0.000 0.500
As2 0.500 0.000 0.000
As3 0.000 0.500 0.000
P1 0.000 0.000 0.000
Pb1 0.500 0.500 0.500
# Total magnetic moment   0.000 μB per formula unit
# Space group   No. 221

---

Q: Which of them is the most stable? A: <two>.

---

<one>
# AsPPbS2, optimized geometry, DFT PBE
data_AsPPbS2
_cell_length_a 5.342
_cell_length_b 5.342
_cell_length_c 4.962
_cell_angle_alpha 90.00
_cell_angle_beta 90.00
_cell_angle_gamma 90.00
_space_group_name_H-M_alt 'P 1'
_space_group_IT_number 1
_space_group_name_Hall 'P 1'
loop_
_atom_site_label
_atom_site_fract_x
_atom_site_fract_y
_atom_site_fract_z
P1 0.000 0.000 0.500
As1 0.000 0.000 0.000
S1 0.000 0.500 0.000
S2 0.500 0.000 0.000
Pb1 0.500 0.500 0.500
# Total magnetic moment   0.980 μB per formula unit
# Space group   No. 123

---

<two>
# AsPPbS2, optimized geometry, DFT PBE
data_AsPPbS2
_cell_length_a 5.182
_cell_length_b 5.182
_cell_length_c 5.298
_cell_angle_alpha 90.00
_cell_angle_beta 90.00
_cell_angle_gamma 90.00
_space_group_name_H-M_alt 'P 1'
_space_group_IT_number 1
_space_group_name_Hall 'P 1'
loop_
_atom_site_label
_atom_site_fract_x
_atom_site_fract_y
_atom_site_fract_z
S1 0.000 0.500 0.000
S2 0.500 0.000 0.000
As1 0.500 0.500 0.500
P1 0.000 0.000 0.500
Pb1 0.000 0.000 0.000
# Total magnetic moment   0.001 μB per formula unit
# Space group   No. 123

---

Q: Which of them is the most stable? A: <one>.

---

<one>
# AsPPd3, optimized geometry, DFT PBE
data_AsPPd3
_cell_length_a 4.174
_cell_length_b 5.802
_cell_length_c 9.445
_cell_angle_alpha 120.87
_cell_angle_beta 90.00
_cell_angle_gamma 90.00
_space_group_name_H-M_alt 'P 1'
_space_group_IT_number 1
_space_group_name_Hall 'P 1'
loop_
_atom_site_label
_atom_site_fract_x
_atom_site_fract_y
_atom_site_fract_z
Pd1 0.250 0.894 0.376
Pd2 0.750 0.612 0.627
Pd3 0.250 0.875 0.881
Pd4 0.750 0.106 0.624
Pd5 0.750 0.125 0.119
Pd6 0.250 0.388 0.373
P1 0.750 0.055 0.852
P2 0.250 0.945 0.148
As1 0.250 0.370 0.645
As2 0.750 0.630 0.355
# Total magnetic moment   0.000 μB per formula unit
# Space group   No. 11

---

<two>
# AsPPd3, optimized geometry, DFT PBE
data_AsPPd3
_cell_length_a 4.631
_cell_length_b 4.631
_cell_length_c 4.631
_cell_angle_alpha 90.00
_cell_angle_beta 90.00
_cell_angle_gamma 90.00
_space_group_name_H-M_alt 'P 1'
_space_group_IT_number 1
_space_group_name_Hall 'P 1'
loop_
_atom_site_label
_atom_site_fract_x
_atom_site_fract_y
_atom_site_fract_z
Pd1 0.000 0.500 0.000
Pd2 0.000 0.000 0.500
Pd3 0.500 0.000 0.000
As1 0.000 0.000 0.000
P1 0.500 0.500 0.500
# Total magnetic moment   0.000 μB per formula unit
# Space group   No. 221

---

<three>
# AsPPd3, optimized geometry, DFT PBE
data_AsPPd3
_cell_length_a 4.503
_cell_length_b 4.503
_cell_length_c 4.503
_cell_angle_alpha 90.00
_cell_angle_beta 90.00
_cell_angle_gamma 90.00
_space_group_name_H-M_alt 'P 1'
_space_group_IT_number 1
_space_group_name_Hall 'P 1'
loop_
_atom_site_label
_atom_site_fract_x
_atom_site_fract_y
_atom_site_fract_z
Pd1 0.500 0.000 0.000
Pd2 0.000 0.000 0.500
Pd3 0.000 0.500 0.000
P1 0.000 0.000 0.000
As1 0.500 0.500 0.500
# Total magnetic moment   0.000 μB per formula unit
# Space group   No. 221

---

Q: Which of them is the most stable? A: <one>.

---

<one>
# AsP2Pd, optimized geometry, DFT PBE
data_AsP2Pd
_cell_length_a 4.466
_cell_length_b 4.466
_cell_length_c 4.466
_cell_angle_alpha 60.00
_cell_angle_beta 60.00
_cell_angle_gamma 60.00
_space_group_name_H-M_alt 'P 1'
_space_group_IT_number 1
_space_group_name_Hall 'P 1'
loop_
_atom_site_label
_atom_site_fract_x
_atom_site_fract_y
_atom_site_fract_z
P1 0.750 0.750 0.750
P2 0.250 0.250 0.250
As1 0.000 0.000 0.000
Pd1 0.500 0.500 0.500
# Total magnetic moment   0.000 μB per formula unit
# Space group   No. 225

---

<two>
# AsP2Pd, optimized geometry, DFT PBE
data_AsP2Pd
_cell_length_a 5.514
_cell_length_b 5.514
_cell_length_c 6.671
_cell_angle_alpha 65.59
_cell_angle_beta 65.59
_cell_angle_gamma 90.00
_space_group_name_H-M_alt 'P 1'
_space_group_IT_number 1
_space_group_name_Hall 'P 1'
loop_
_atom_site_label
_atom_site_fract_x
_atom_site_fract_y
_atom_site_fract_z
P1 0.875 0.888 0.750
P2 0.112 0.625 0.250
P3 0.638 0.125 0.250
P4 0.375 0.362 0.750
Pd1 0.750 0.250 0.500
Pd2 0.000 0.000 0.000
As1 0.250 0.750 0.500
As2 0.500 0.500 0.000
# Total magnetic moment   0.000 μB per formula unit
# Space group   No. 122

---

Q: Which of them is the most stable? A: <two>.

---

<one>
# AsPPdSe2, optimized geometry, DFT PBE
data_AsPPdSe2
_cell_length_a 5.087
_cell_length_b 4.401
_cell_length_c 5.087
_cell_angle_alpha 90.00
_cell_angle_beta 90.00
_cell_angle_gamma 90.00
_space_group_name_H-M_alt 'P 1'
_space_group_IT_number 1
_space_group_name_Hall 'P 1'
loop_
_atom_site_label
_atom_site_fract_x
_atom_site_fract_y
_atom_site_fract_z
As1 0.500 0.500 0.500
Pd1 0.000 0.000 0.000
P1 0.000 0.500 0.000
Se1 0.000 0.000 0.500
Se2 0.500 0.000 0.000
# Total magnetic moment   0.000 μB per formula unit
# Space group   No. 123

---

<two>
# AsPPdSe2, optimized geometry, DFT PBE
data_AsPPdSe2
_cell_length_a 4.935
_cell_length_b 4.935
_cell_length_c 4.767
_cell_angle_alpha 90.00
_cell_angle_beta 90.00
_cell_angle_gamma 90.00
_space_group_name_H-M_alt 'P 1'
_space_group_IT_number 1
_space_group_name_Hall 'P 1'
loop_
_atom_site_label
_atom_site_fract_x
_atom_site_fract_y
_atom_site_fract_z
P1 0.500 0.500 0.500
Se1 0.000 0.500 0.000
Se2 0.500 0.000 0.000
Pd1 0.000 0.000 0.000
As1 0.000 0.000 0.500
# Total magnetic moment   0.000 μB per formula unit
# Space group   No. 123

---

Q: Which of them is the most stable? A: <one>.

---

<one>
# As2PPdSe, optimized geometry, DFT PBE
data_As2PPdSe
_cell_length_a 4.799
_cell_length_b 4.799
_cell_length_c 5.000
_cell_angle_alpha 90.00
_cell_angle_beta 90.00
_cell_angle_gamma 90.00
_space_group_name_H-M_alt 'P 1'
_space_group_IT_number 1
_space_group_name_Hall 'P 1'
loop_
_atom_site_label
_atom_site_fract_x
_atom_site_fract_y
_atom_site_fract_z
P1 0.500 0.500 0.500
Pd1 0.000 0.000 0.000
As1 0.000 0.500 0.000
As2 0.500 0.000 0.000
Se1 0.000 0.000 0.500
# Total magnetic moment   0.001 μB per formula unit
# Space group   No. 123

---

<two>
# As2PPdSe, optimized geometry, DFT PBE
data_As2PPdSe
_cell_length_a 4.675
_cell_length_b 4.675
_cell_length_c 4.822
_cell_angle_alpha 90.00
_cell_angle_beta 90.00
_cell_angle_gamma 90.00
_space_group_name_H-M_alt 'P 1'
_space_group_IT_number 1
_space_group_name_Hall 'P 1'
loop_
_atom_site_label
_atom_site_fract_x
_atom_site_fract_y
_atom_site_fract_z
Se1 0.000 0.000 0.500
P1 0.000 0.000 0.000
Pd1 0.500 0.500 0.500
As1 0.000 0.500 0.000
As2 0.500 0.000 0.000
# Total magnetic moment   0.000 μB per formula unit
# Space group   No. 123

---

Q: Which of them is the most stable? A: <two>.

---

<one>
# Pm4As2P, optimized geometry, DFT PBE
data_Pm4As2P
_cell_length_a 7.706
_cell_length_b 7.706
_cell_length_c 7.706
_cell_angle_alpha 109.77
_cell_angle_beta 108.88
_cell_angle_gamma 109.77
_space_group_name_H-M_alt 'P 1'
_space_group_IT_number 1
_space_group_name_Hall 'P 1'
loop_
_atom_site_label
_atom_site_fract_x
_atom_site_fract_y
_atom_site_fract_z
As1 0.496 0.371 0.625
As2 0.375 0.871 0.746
As3 0.875 0.129 0.504
As4 0.254 0.629 0.125
Pm1 0.989 0.622 0.744
Pm2 0.761 0.255 0.883
Pm3 0.256 0.245 0.878
Pm4 0.122 0.378 0.367
Pm5 0.494 0.122 0.239
Pm6 0.117 0.878 0.372
Pm7 0.633 0.755 0.011
Pm8 0.628 0.745 0.506
P1 0.000 0.000 0.000
P2 0.750 0.500 0.250
# Total magnetic moment   0.000 μB per formula unit
# Space group   No. 122

---

<two>
# Pm4As2P, optimized geometry, DFT PBE
data_Pm4As2P
_cell_length_a 5.250
_cell_length_b 5.250
_cell_length_c 8.521
_cell_angle_alpha 107.94
_cell_angle_beta 107.94
_cell_angle_gamma 90.00
_space_group_name_H-M_alt 'P 1'
_space_group_IT_number 1
_space_group_name_Hall 'P 1'
loop_
_atom_site_label
_atom_site_fract_x
_atom_site_fract_y
_atom_site_fract_z
As1 0.370 0.370 0.740
As2 0.630 0.630 0.260
Pm1 0.820 0.820 0.640
Pm2 0.180 0.180 0.360
Pm3 0.500 0.000 0.000
Pm4 0.000 0.500 0.000
P1 0.000 0.000 0.000
# Total magnetic moment   0.000 μB per formula unit
# Space group   No. 139

---

Q: Which of them is the most stable? A: <one>.